(1)
Ce7GaSn3: relaxed, GGA-PBE.

The structure in POSCAR format:
```
Ce7GaSn3
1.0
5.930 -0.122 -0.156
-2.813 7.563 0.030
-2.813 -1.804 7.345
Ce Sn Ga
7 3 1
Cartesian
0.051 0.916 1.174
0.107 -0.367 4.384
-2.813 2.879 3.687
0.197 1.294 6.512
0.253 4.721 6.045
0.197 6.004 2.835
0.107 4.343 0.707
2.965 -0.061 -0.078
-2.813 5.335 1.770
-2.813 0.424 5.605
0.152 2.819 3.610
```

The space-group type is No. 71. The formation enthalpy at 0 K comes out at -0.357 eV per atom.

(2)
Mg2SbPb: relaxed, GGA-PBE.

The structure in POSCAR format:
```
Mg2SbPb
1.0
7.692 -0.054 -0.148
-3.168 4.620 -0.010
1.355 1.038 2.826
Mg Sb Pb
2 1 1
Cartesian
0.000 0.000 0.000
4.524 0.492 1.339
2.262 2.283 -0.079
-0.907 2.829 1.408
```

The space-group type is No. 12. For the raw formation energy, the calculation gives -37 kJ/mol of formula units. The excess energy over the best structure of this formula in the dataset comes out at 0.0328 eV per atom.

(3)
CeMg: relaxed, GGA-PBE.

The structure in POSCAR format:
```
CeMg
1.0
-2.417 -2.368 4.606
3.692 -1.932 3.911
0.254 3.631 4.516
Mg Ce
3 3
Cartesian
-1.061 2.034 7.510
-0.886 -2.952 5.919
0.516 -0.352 6.545
0.014 1.464 3.614
1.882 -2.061 4.117
0.942 -2.174 9.484
```

The space-group type is No. 5. The formation enthalpy at 0 K comes out at 0.042 eV per atom.

(4)
LiGa3Re: relaxed, GGA-PBE.

The structure in POSCAR format:
```
LiGa3Re
1.0
4.852 0.000 0.000
0.000 4.852 0.000
0.000 0.000 4.852
Ga Li Re
3 1 1
Cartesian
0.000 2.426 0.000
2.426 0.000 0.000
0.000 0.000 2.426
2.426 2.426 2.426
0.000 0.000 0.000
```

The space-group type is No. 221. The formation enthalpy at 0 K comes out at 0.065 eV per atom. The excess energy over the best structure of this formula in the dataset comes out at 0.0000 eV per atom.